Here is a geometry-optimized LaBiTeI2 structure from the Alexandria database. Energies are from PBE.

**Space group**: P4/mmm
**Uncorrected formation energy**: -403 meV per atom
**Size of the total moment**: 0.00 μB per cell
**DFT total energy**: -17.1 eV/f.u.
**D(E_F)**: 6.77 states/eV/cell
**V**: 47.41 Å³/atom
**Theoretical density**: 5.11 Mg/m³

a b c (Å): 6.133 6.133 6.303
angles (deg): 90.00 90.00 90.00
Sites, in units of the cell vectors:
I1 0.000 0.500 0.000
I2 0.500 0.000 0.000
Te1 0.000 0.000 0.500
La1 0.000 0.000 0.000
Bi1 0.500 0.500 0.500

***

Here is a geometry-optimized NdPuSb structure from the Alexandria database. Energies are from PBE.

**Space group**: I4mm
**Uncorrected formation energy**: -494 meV per atom
**Size of the total moment**: 6.48 μB per cell
**DFT total energy**: -24.7 eV/f.u.
**D(E_F)**: 9.06 states/eV/cell
**V**: 28.28 Å³/atom
**Theoretical density**: 9.98 Mg/m³

a b c (Å): 4.116 4.116 5.793
angles (deg): 110.81 110.81 90.00
Sites, in units of the cell vectors:
Sb1 0.617 0.617 0.234
Pu1 0.963 0.963 0.925
Nd1 0.271 0.271 0.541

***

Here is a geometry-optimized PrGdThAl structure from the Alexandria database. Energies are from PBE.

**Space group**: F-43m
**Size of the total moment**: 7.49 μB per cell
**DFT total energy**: -30.1 eV/f.u.
**E_form**: -18 meV per atom
**D(E_F)**: 5.40 states/eV/cell
**V**: 28.78 Å³/atom
**Theoretical density**: 8.04 Mg/m³

a b c (Å): 5.460 5.460 5.460
angles (deg): 60.00 60.00 60.00
Sites, in units of the cell vectors:
Pr1 0.000 0.000 0.000
Gd1 0.750 0.750 0.750
Al1 0.250 0.250 0.250
Th1 0.500 0.500 0.500

***

Here is a geometry-optimized SrTe2MoI structure from the Alexandria database. Energies are from PBE.

**Space group**: P4/mmm
**Uncorrected formation energy**: 705 meV per atom
**Size of the total moment**: 3.05 μB per cell
**DFT total energy**: -16.8 eV/f.u.
**D(E_F)**: 4.35 states/eV/cell
**V**: 47.96 Å³/atom
**Theoretical density**: 3.92 Mg/m³

a b c (Å): 6.256 6.256 6.126
angles (deg): 90.00 90.00 90.00
Sites, in units of the cell vectors:
Te1 0.500 0.000 0.000
Te2 0.000 0.500 0.000
Sr1 0.000 0.000 0.000
I1 0.000 0.000 0.500
Mo1 0.500 0.500 0.500

***

Here is a geometry-optimized LuPaCoAu structure from the Alexandria database. Energies are from PBE.

**Space group**: F-43m
**Size of the total moment**: 0.02 μB per cell
**DFT total energy**: -25.4 eV/f.u.
**E_form**: -242 meV per atom
**D(E_F)**: 5.64 states/eV/cell
**V**: 20.72 Å³/atom
**Theoretical density**: 13.26 Mg/m³

a b c (Å): 4.894 4.894 4.894
angles (deg): 60.00 60.00 60.00
Sites, in units of the cell vectors:
Au1 0.000 0.000 0.000
Pa1 0.750 0.750 0.750
Co1 0.500 0.500 0.500
Lu1 0.250 0.250 0.250

***

Here is a geometry-optimized CaDyBi2 structure from the Alexandria database. Energies are from PBE.

**Space group**: Fm-3m
**Size of the total moment**: 0.00 μB per cell
**DFT total energy**: -16.9 eV/f.u.
**E_form**: -626 meV per atom
**D(E_F)**: 2.39 states/eV/cell
**V**: 30.46 Å³/atom
**Theoretical density**: 8.46 Mg/m³

a b c (Å): 5.565 5.565 5.565
angles (deg): 60.00 60.00 60.00
Sites, in units of the cell vectors:
Dy1 0.000 0.000 0.000
Bi1 0.750 0.750 0.750
Bi2 0.250 0.250 0.250
Ca1 0.500 0.500 0.500